(1)
DFT (PBE-GGA) results for a relaxed structure of LiMgRu.

POSCAR file:
```
LiMgRu
1.0
-3.765 5.583 -0.699
-5.799 2.665 -2.259
3.953 -4.467 3.201
Li Mg Ru
1 1 1
direct
0.015 0.015 0.000
0.319 0.319 0.000
0.666 0.666 0.000
```

The value obtained for the density of states at the Fermi level is 2.4 states/eV per cell. The value obtained for the volume is 48.9 Å³ per cell. Its distance to the lowest polymorph of the same formula is 9.3 kJ/mol of atoms. The calculation puts the formation energy at 0.201 eV/atom. The calculation puts the mass density at 4.49 g/cm3.


(2)
DFT (PBE-GGA) results for a relaxed structure of Li2AcCdAu5.

POSCAR file:
```
Li2AcCdAu5
1.0
4.946 0.000 0.000
0.000 4.946 0.000
0.000 0.000 7.602
Au Ac Cd Li
5 1 1 2
direct
0.500 0.000 0.215
0.500 0.500 0.500
0.000 0.500 0.785
0.500 0.000 0.785
0.000 0.500 0.215
0.000 0.000 0.500
0.000 0.000 0.000
0.500 0.500 0.163
0.500 0.500 0.837
```

The value obtained for the density of states at the Fermi level is 4.3 states/eV per cell. The value obtained for the volume is 186.0 Å³ per cell. The calculation puts the formation energy at -0.433 eV/atom. The calculation puts the mass density at 11.95 g/cm3.


(3)
DFT (PBE-GGA) results for a relaxed structure of Zr5Fe.

POSCAR file:
```
Zr5Fe
1.0
2.875 -4.980 0.000
2.875 4.980 0.000
0.000 0.000 5.045
Zr Fe
5 1
direct
0.667 0.333 0.000
0.500 0.500 0.500
0.500 0.000 0.500
0.000 0.500 0.500
0.333 0.667 0.000
0.000 0.000 0.000
```

The value obtained for the density of states at the Fermi level is 8.7 states/eV per cell. The value obtained for the volume is 144.4 Å³ per cell. Its distance to the lowest polymorph of the same formula is 81.0 kJ/mol of atoms. The calculation puts the formation energy at 0.818 eV/atom. The calculation puts the mass density at 5.89 g/cm3.


(4)
DFT (PBE-GGA) results for a relaxed structure of NaEr4PuS8.

POSCAR file:
```
NaEr4PuS8
1.0
-4.973 6.073 1.656
-4.311 -0.077 6.765
1.831 5.166 5.981
S Na Er Pu
8 1 4 1
direct
0.241 0.241 0.733
0.758 0.758 0.725
0.239 0.239 0.284
0.241 0.785 0.733
0.228 0.754 0.265
0.754 0.754 0.265
0.754 0.228 0.265
0.785 0.241 0.733
0.374 0.374 0.878
0.005 0.005 0.503
0.005 0.487 0.503
0.626 0.626 0.121
0.487 0.005 0.503
0.003 0.003 0.990
```

The value obtained for the density of states at the Fermi level is 8.6 states/eV per cell. The value obtained for the volume is 371.2 Å³ per cell. As for the formation energy (no corrections): -1.8600 eV/atom. The calculation puts the mass density at 5.33 g/cm3.